No. 1
The following is a GGA-PBEsol calculation of a relaxed Ta2InAsS crystal, from Alexandria via LeMat-Bulk.

Summary:
M_tot = 0.01 μB/f.u.
raw formation energy = 2.135 eV/atom
crystal system = tetragonal

Unit cell a=5.1097 b=5.1097 c=4.7215 alpha=90.00 beta=90.00 gamma=90.00
Last column: nearest neighbours and their distance in Å.
Atoms (fractional coordinates):
Ta 0.0000 0.5000 0.0000  2 In 2.55
Ta 0.5000 0.0000 0.0000  2 In 2.55
In 0.0000 0.0000 0.0000  2 As 2.36, 4 Ta 2.55
As 0.0000 0.0000 0.5000  2 In 2.36
S 0.5000 0.5000 0.5000  8 Ta 3.48, 4 As 3.61



No. 2
The following is a GGA-PBEsol calculation of a relaxed InSbAs2 crystal, from Alexandria via LeMat-Bulk.

Summary:
M_tot = 0.00 μB/f.u.
raw formation energy = 0.204 eV/atom
crystal system = tetragonal

Unit cell a=5.0154 b=5.0154 c=3.4459 alpha=90.00 beta=90.00 gamma=90.00
Last column: nearest neighbours and their distance in Å.
Atoms (fractional coordinates):
In 0.0000 0.0000 0.0000  8 As 3.04
Sb 0.5000 0.5000 0.0000  8 As 3.04
As 0.0000 0.5000 0.5000  4 In 3.04, 4 Sb 3.04
As 0.5000 0.0000 0.5000  4 In 3.04, 4 Sb 3.04



No. 3
The following is a GGA-PBEsol calculation of a relaxed In2SbAs crystal, from Alexandria via LeMat-Bulk.

Summary:
M_tot = 0.00 μB/f.u.
raw formation energy = -0.115 eV/atom
crystal system = trigonal

Unit cell a=7.7236 b=7.7236 c=7.7236 alpha=33.51 beta=33.51 gamma=33.51
Last column: nearest neighbours and their distance in Å.
Atoms (fractional coordinates):
In 0.0000 0.0000 0.0000  1 As 2.63, 3 Sb 2.77
In 0.4904 0.4904 0.4904  3 As 2.69, 1 Sb 2.82
Sb 0.6194 0.6194 0.6194  4 In 2.77-2.82
As 0.1205 0.1205 0.1205  4 In 2.63-2.69



No. 4
The following is a GGA-PBEsol calculation of a relaxed InSbAs2 crystal, from Alexandria via LeMat-Bulk.

Summary:
M_tot = 0.00 μB/f.u.
raw formation energy = 0.271 eV/atom
crystal system = cubic

Unit cell a=4.9671 b=4.9671 c=4.9671 alpha=60.00 beta=60.00 gamma=60.00
Last column: nearest neighbours and their distance in Å.
Atoms (fractional coordinates):
In 0.0000 0.0000 0.0000  4 Sb 3.04, 4 As 3.04
Sb 0.7500 0.7500 0.7500  4 As 3.04, 4 In 3.04
As 0.2500 0.2500 0.2500  4 In 3.04, 4 As 3.04
As 0.5000 0.5000 0.5000  4 As 3.04, 4 Sb 3.04



No. 5
The following is a GGA-PBEsol calculation of a relaxed InSbAs2 crystal, from Alexandria via LeMat-Bulk.

Summary:
M_tot = 0.00 μB/f.u.
raw formation energy = -0.043 eV/atom
crystal system = tetragonal

Unit cell a=4.0146 b=4.0146 c=5.8373 alpha=90.00 beta=90.00 gamma=90.00
Last column: nearest neighbours and their distance in Å.
Atoms (fractional coordinates):
In 0.0000 0.0000 0.0000  6 As 2.78-3.06
Sb 0.5000 0.5000 0.4913  5 As 2.66-2.84
As 0.0000 0.0000 0.5236  2 In 2.78-3.06, 4 Sb 2.84
As 0.5000 0.5000 0.0353  1 Sb 2.66, 4 In 2.85



No. 6
The following is a GGA-PBEsol calculation of a relaxed In2SbAs crystal, from Alexandria via LeMat-Bulk.

Summary:
M_tot = 0.00 μB/f.u.
raw formation energy = 0.106 eV/atom
crystal system = tetragonal

Unit cell a=3.6209 b=3.6209 c=7.1907 alpha=90.00 beta=90.00 gamma=90.00
Last column: nearest neighbours and their distance in Å.
Atoms (fractional coordinates):
In 0.0000 0.0000 0.2251  4 As 3.03, 4 Sb 3.23, 1 In 3.24
In 0.0000 0.0000 0.7749  4 As 3.03, 4 Sb 3.23, 1 In 3.24
Sb 0.5000 0.5000 0.5000  8 In 3.23, 2 As 3.60, 4 Sb 3.62
As 0.5000 0.5000 0.0000  8 In 3.03



No. 7
The following is a GGA-PBEsol calculation of a relaxed InSbAs2 crystal, from Alexandria via LeMat-Bulk.

Summary:
M_tot = 0.00 μB/f.u.
raw formation energy = 0.076 eV/atom
crystal system = tetragonal

Unit cell a=3.9595 b=3.9595 c=6.2235 alpha=90.00 beta=90.00 gamma=90.00
Last column: nearest neighbours and their distance in Å.
Atoms (fractional coordinates):
In 0.0000 0.0000 0.0000  1 As 2.67, 4 Sb 2.92
Sb 0.5000 0.5000 0.1323  1 As 2.63, 4 In 2.92
As 0.0000 0.0000 0.5715  1 In 2.67, 4 As 2.80
As 0.5000 0.5000 0.5544  1 Sb 2.63, 4 As 2.80



No. 8
The following is a GGA-PBEsol calculation of a relaxed InSbAs2 crystal, from Alexandria via LeMat-Bulk.

Summary:
M_tot = 0.00 μB/f.u.
raw formation energy = 0.240 eV/atom
crystal system = orthorhombic

Unit cell a=3.1846 b=3.1846 c=9.4328 alpha=90.00 beta=90.00 gamma=108.84
Last column: nearest neighbours and their distance in Å.
Atoms (fractional coordinates):
In 0.0000 0.0000 0.0000  2 As 3.11, 4 In 3.18, 2 Sb 3.22
Sb 0.5000 0.5000 0.7206  2 As 3.12, 4 Sb 3.18, 2 In 3.22
As 0.0000 0.0000 0.4541  2 As 2.57
As 0.5000 0.5000 0.2648  2 As 2.57



No. 9
The following is a GGA-PBEsol calculation of a relaxed Sc2InAs crystal, from Alexandria via LeMat-Bulk.

Summary:
M_tot = 0.01 μB/f.u.
formation enthalpy at 0 K = -0.611 eV/atom
crystal system = orthorhombic

Unit cell a=3.8727 b=4.5285 c=4.5585 alpha=90.00 beta=90.00 gamma=90.00
Last column: nearest neighbours and their distance in Å.
Atoms (fractional coordinates):
Sc 0.0000 0.0000 0.0000  4 As 2.98, 4 In 2.99, 4 Sc 3.21
Sc 0.0000 0.5000 0.5000  4 In 2.98, 4 As 2.99, 4 Sc 3.21
In 0.5000 0.0000 0.5000  8 Sc 2.98-2.99, 4 As 3.21
As 0.5000 0.5000 0.0000  8 Sc 2.98-2.99, 4 In 3.21



No. 10
The following is a GGA-PBEsol calculation of a relaxed ScInAs2 crystal, from Alexandria via LeMat-Bulk.

Summary:
M_tot = 0.00 μB/f.u.
formation enthalpy at 0 K = -0.594 eV/atom
crystal system = orthorhombic

Unit cell a=3.8557 b=6.5576 c=6.5576 alpha=32.17 beta=90.00 gamma=90.00
Last column: nearest neighbours and their distance in Å.
Atoms (fractional coordinates):
Sc 0.0000 0.0000 0.0000  6 As 2.74-2.80
In 0.5000 0.2378 0.2378  5 As 2.62-2.79
As 0.0000 0.6695 0.6695  4 In 2.79, 2 Sc 2.80
As 0.5000 0.4456 0.4456  1 In 2.62, 4 Sc 2.74



No. 11
The following is a GGA-PBEsol calculation of a relaxed Sc2InAs crystal, from Alexandria via LeMat-Bulk.

Summary:
M_tot = 0.00 μB/f.u.
formation enthalpy at 0 K = -0.539 eV/atom
crystal system = cubic

Unit cell a=4.8640 b=4.8640 c=4.8640 alpha=60.00 beta=60.00 gamma=60.00
Last column: nearest neighbours and their distance in Å.
Atoms (fractional coordinates):
Sc 0.2500 0.2500 0.2500  4 As 2.98, 4 In 2.98
Sc 0.7500 0.7500 0.7500  4 In 2.98, 4 As 2.98
In 0.0000 0.0000 0.0000  8 Sc 2.98
As 0.5000 0.5000 0.5000  8 Sc 2.98



No. 12
The following is a GGA-PBEsol calculation of a relaxed Sc2InAs crystal, from Alexandria via LeMat-Bulk.

Summary:
M_tot = 0.00 μB/f.u.
formation enthalpy at 0 K = -0.604 eV/atom
crystal system = tetragonal

Unit cell a=3.9720 b=3.9720 c=5.6153 alpha=90.00 beta=90.00 gamma=90.00
Last column: nearest neighbours and their distance in Å.
Atoms (fractional coordinates):
Sc 0.0000 0.0000 0.0000  2 In 2.81, 4 As 2.81
Sc 0.5000 0.5000 0.5000  2 As 2.81, 4 In 2.81
In 0.0000 0.0000 0.5000  6 Sc 2.81
As 0.5000 0.5000 0.0000  6 Sc 2.81



No. 13
The following is a GGA-PBEsol calculation of a relaxed ScIn2As crystal, from Alexandria via LeMat-Bulk.

Summary:
M_tot = 0.00 μB/f.u.
formation enthalpy at 0 K = -0.349 eV/atom
crystal system = trigonal

Unit cell a=8.1130 b=8.1130 c=8.1130 alpha=26.74 beta=26.74 gamma=26.74
Last column: nearest neighbours and their distance in Å.
Atoms (fractional coordinates):
Sc 0.0000 0.0000 0.0000  3 As 2.63
In 0.5265 0.5265 0.5265  3 As 2.82, 3 In 3.13
In 0.7633 0.7633 0.7633  3 In 3.13, 3 Sc 3.14
As 0.2699 0.2699 0.2699  3 Sc 2.63, 3 In 2.82



No. 14
The following is a GGA-PBEsol calculation of a relaxed ScIn2As crystal, from Alexandria via LeMat-Bulk.

Summary:
M_tot = 0.00 μB/f.u.
formation enthalpy at 0 K = -0.390 eV/atom
crystal system = tetragonal

Unit cell a=4.1214 b=4.1214 c=4.9350 alpha=90.00 beta=90.00 gamma=90.00
Last column: nearest neighbours and their distance in Å.
Atoms (fractional coordinates):
Sc 0.0000 0.0000 0.0000  4 As 2.91, 8 In 3.21
In 0.0000 0.5000 0.5000  4 In 2.91, 4 Sc 3.21, 4 As 3.21
In 0.5000 0.0000 0.5000  4 In 2.91, 4 Sc 3.21, 4 As 3.21
As 0.5000 0.5000 0.0000  4 Sc 2.91, 8 In 3.21



No. 15
The following is a GGA-PBEsol calculation of a relaxed Sc2InAs crystal, from Alexandria via LeMat-Bulk.

Summary:
M_tot = 0.00 μB/f.u.
formation enthalpy at 0 K = -0.859 eV/atom
crystal system = trigonal

Unit cell a=7.8664 b=7.8664 c=7.8664 alpha=27.00 beta=27.00 gamma=27.00
Last column: nearest neighbours and their distance in Å.
Atoms (fractional coordinates):
Sc 0.2354 0.2354 0.2354  3 As 2.63
Sc 0.7646 0.7646 0.7646  3 As 2.63
In 0.0000 0.0000 0.0000  6 Sc 3.07
As 0.5000 0.5000 0.5000  6 Sc 2.63



No. 16
The following is a GGA-PBEsol calculation of a relaxed ScIn2As crystal, from Alexandria via LeMat-Bulk.

Summary:
M_tot = 0.00 μB/f.u.
formation enthalpy at 0 K = -0.487 eV/atom
crystal system = monoclinic

Unit cell a=3.6835 b=3.6850 c=6.7750 alpha=90.00 beta=90.07 gamma=90.00
Last column: nearest neighbours and their distance in Å.
Atoms (fractional coordinates):
Sc 0.0000 0.0000 0.0000  4 As 2.68, 1 In 2.99
In 0.0020 0.0000 0.5587  1 Sc 2.99, 4 In 3.10
In 0.5011 0.5000 0.3116  1 As 2.75
As 0.4997 0.5000 0.9061  4 Sc 2.68, 1 In 2.75